The following is a DFT calculation (PBE) of crystalline La6Hg3Ir2Pt at its relaxed geometry.

Structure (POSCAR):
```
La6Hg3Ir2Pt
1.0
3.661 -6.329 0.000
3.661 6.329 0.000
-2.427 0.000 7.915
La Hg Ir Pt
6 3 2 1
Direct
0.091 0.432 0.797
0.225 0.225 0.200
0.432 0.091 0.797
0.568 0.909 0.203
0.775 0.775 0.800
0.909 0.568 0.203
0.000 0.000 0.500
0.339 0.661 0.500
0.661 0.339 0.500
0.167 0.833 0.000
0.833 0.167 0.000
0.500 0.500 0.000
```

Results
Density of states at the Fermi level, states/eV per atom: 0.883
Energy relative to the elements, meV/atom: -712.8


The following is a DFT calculation (PBE) of crystalline La2HgIrPt at its relaxed geometry.

Structure (POSCAR):
```
La2HgIrPt
1.0
5.595 0.000 0.000
0.000 5.595 0.000
0.000 0.000 4.893
La Hg Ir Pt
2 1 1 1
Direct
0.000 0.500 0.000
0.500 0.000 0.000
0.000 0.000 0.500
0.500 0.500 0.500
0.500 0.500 0.000
```

Results
Density of states at the Fermi level, states/eV per atom: 1.115
Energy relative to the elements, meV/atom: -148.9


The following is a DFT calculation (PBE) of crystalline La8Hg4Ir3Pt at its relaxed geometry.

Structure (POSCAR):
```
La8Hg4Ir3Pt
1.0
4.214 2.433 7.939
-4.214 2.433 7.939
0.000 -4.865 7.939
La Hg Ir Pt
8 4 3 1
Direct
0.226 0.738 0.738
0.234 0.234 0.234
0.262 0.262 0.774
0.262 0.774 0.262
0.738 0.226 0.738
0.738 0.738 0.226
0.766 0.766 0.766
0.774 0.262 0.262
0.000 0.000 0.000
0.000 0.500 0.500
0.500 0.000 0.500
0.500 0.500 0.000
0.000 0.000 0.500
0.000 0.500 0.000
0.500 0.000 0.000
0.500 0.500 0.500
```

Results
Density of states at the Fermi level, states/eV per atom: 0.884
Energy relative to the elements, meV/atom: -697.4